{"formula": "Cd2TeI", "functional": "PBE", "state": "optimized geometry", "lattice_angstrom": [[-2.641, -4.724, 4.279], [2.004, -5.012, -4.297], [5.920, -5.283, 3.383]], "species": ["I", "I", "Te", "Te", "Cd", "Cd", "Cd", "Cd"], "fractional_positions": [[0.000, 0.000, 0.000], [0.750, 0.250, 0.500], [0.500, 0.500, 0.000], [0.250, 0.750, 0.500], [0.594, 0.125, 0.250], [0.156, 0.625, 0.250], [0.375, 0.406, 0.750], [0.875, 0.844, 0.750]], "e_tot_ev_per_atom": -1.857, "sg": "I-42d", "magmom_total_mub_per_cell": 0.0, "de_polymorph_mev_per_atom": 0}

---

{"formula": "CuPAuO2", "functional": "PBE", "state": "optimized geometry", "lattice_angstrom": [[-0.600, -2.728, -2.365], [3.501, 0.146, -1.057], [1.270, -3.506, 3.722]], "species": ["P", "Au", "O", "O", "Cu"], "fractional_positions": [[0.000, 0.000, 0.500], [0.500, 0.500, 0.500], [0.000, 0.500, 0.000], [0.500, 0.000, 0.000], [0.000, 0.000, 0.000]], "e_tot_ev_per_atom": -4.184, "sg": "P4/mmm", "magmom_total_mub_per_cell": 1.2, "de_polymorph_mev_per_atom": 0}

---

{"formula": "CeEr7Tm12", "functional": "PBE", "state": "optimized geometry", "lattice_angstrom": [[-4.867, 1.121, -6.939], [-5.184, -6.243, 2.692], [-4.652, 5.772, 4.260]], "species": ["Ce", "Er", "Er", "Er", "Er", "Er", "Er", "Er", "Tm", "Tm", "Tm", "Tm", "Tm", "Tm", "Tm", "Tm", "Tm", "Tm", "Tm", "Tm"], "fractional_positions": [[0.000, 0.000, 0.000], [0.970, 0.672, 0.065], [0.328, 0.935, 0.030], [0.935, 0.030, 0.328], [0.500, 0.500, 0.500], [0.065, 0.970, 0.672], [0.672, 0.065, 0.970], [0.030, 0.328, 0.935], [0.774, 0.232, 0.627], [0.768, 0.373, 0.226], [0.459, 0.126, 0.349], [0.874, 0.651, 0.541], [0.373, 0.226, 0.768], [0.651, 0.541, 0.874], [0.349, 0.459, 0.126], [0.627, 0.774, 0.232], [0.126, 0.349, 0.459], [0.541, 0.874, 0.651], [0.232, 0.627, 0.774], [0.226, 0.768, 0.373]], "e_tot_ev_per_atom": -4.316, "ef_ev_per_atom": 0.26, "sg": "R-3", "magmom_total_mub_per_cell": 0.0, "de_polymorph_mev_per_atom": 0}

---

{"formula": "TlCdOs2", "functional": "PBE", "state": "optimized geometry", "lattice_angstrom": [[-4.185, 2.220, -1.719], [-4.503, -0.640, -2.170], [-3.652, -0.254, 4.187]], "species": ["Tl", "Os", "Os", "Cd"], "fractional_positions": [[0.750, 0.750, 0.750], [0.008, 0.008, 0.052], [0.492, 0.492, 0.448], [0.250, 0.250, 0.250]], "e_tot_ev_per_atom": -5.548, "ef_ev_per_atom": 0.89, "sg": "C2/m", "magmom_total_mub_per_cell": 0.0}

---

{"formula": "Cr2FeCu", "functional": "PBE", "state": "optimized geometry", "lattice_angstrom": [[3.481, 0.000, 0.000], [0.000, 3.623, 0.000], [0.000, 0.000, 3.735]], "species": ["Cr", "Cr", "Cu", "Fe"], "fractional_positions": [[0.000, 0.000, 0.000], [0.500, 0.500, 0.000], [0.500, 0.000, 0.500], [0.000, 0.500, 0.500]], "e_tot_ev_per_atom": -7.715, "ef_ev_per_atom": 0.24, "sg": "Pmmm", "magmom_total_mub_per_cell": 1.6, "de_polymorph_mev_per_atom": 99}

---

{"formula": "BaTlH3", "functional": "PBE", "state": "optimized geometry", "lattice_angstrom": [[5.006, 0.000, 0.000], [0.000, 5.006, 0.000], [0.000, 0.000, 5.006]], "species": ["H", "H", "H", "Tl", "Ba"], "fractional_positions": [[0.000, 0.500, 0.000], [0.000, 0.000, 0.500], [0.500, 0.000, 0.000], [0.500, 0.500, 0.500], [0.000, 0.000, 0.000]], "e_tot_ev_per_atom": -2.779, "sg": "Pm-3m", "magmom_total_mub_per_cell": 0.0, "de_polymorph_mev_per_atom": 40}